The following is a DFT calculation (GGA-PBEsol) of a relaxed structure of KCu3H.

## Properties
Energy, eV/atom: -1.208
ρ, g cm⁻³: 2.50
Space group: No. 221

Cell lengths 5.3549, 5.3549, 5.3549 Å; angles 90.00, 90.00, 90.00 degrees
Fractional coordinates of all 5 atoms:
K  0.0000  0.0000  0.0000
Cu  0.0000  0.0000  0.5000
Cu  0.0000  0.5000  0.0000
Cu  0.5000  0.0000  0.0000
H  0.5000  0.5000  0.5000